1.
First-principles (PBE) data for a geometry-optimized HfTlI2 structure, as listed in Alexandria.

Properties
formation energy (no corrections): 0.25 eV/atom

Structure (POSCAR):
```
HfTlI2
1.0
7.636 0.000 0.000
0.000 7.636 0.000
0.000 0.000 7.636
Hf Tl I
4 4 8
Direct
0.000 0.000 0.000
0.000 0.500 0.500
0.500 0.000 0.500
0.500 0.500 0.000
0.000 0.000 0.500
0.000 0.500 0.000
0.500 0.000 0.000
0.500 0.500 0.500
0.250 0.250 0.250
0.250 0.250 0.750
0.250 0.750 0.250
0.250 0.750 0.750
0.750 0.250 0.250
0.750 0.250 0.750
0.750 0.750 0.250
0.750 0.750 0.750
```

2.
First-principles (PBE) data for a geometry-optimized Sr2TlSbSe4 structure, as listed in Alexandria.

Properties
formation energy (no corrections): -1.08 eV/atom

Structure (POSCAR):
```
Sr2TlSbSe4
1.0
-4.412 4.444 6.223
4.412 -4.444 6.223
4.412 4.444 -6.223
Sr Tl Sb Se
4 2 2 8
Direct
0.000 0.000 0.000
0.500 0.000 0.000
0.500 0.000 0.500
0.500 0.500 0.500
0.000 0.000 0.500
0.000 0.500 0.000
0.000 0.500 0.500
0.500 0.500 0.000
0.249 0.737 0.512
0.255 0.271 0.516
0.255 0.739 0.984
0.275 0.263 0.012
0.725 0.737 0.988
0.745 0.261 0.016
0.745 0.729 0.484
0.751 0.263 0.488
```

3.
First-principles (PBE) data for a geometry-optimized AgSn2Au2 structure, as listed in Alexandria.

Properties
energy of formation: -67 meV per atom

Structure (POSCAR):
```
AgSn2Au2
1.0
7.579 0.000 0.000
0.000 4.756 0.000
0.000 0.000 12.459
Ag Sn Au
4 8 8
Direct
0.230 0.250 0.059
0.270 0.750 0.559
0.730 0.250 0.441
0.770 0.750 0.941
0.007 0.750 0.121
0.144 0.250 0.415
0.356 0.750 0.915
0.493 0.250 0.621
0.507 0.750 0.379
0.644 0.250 0.085
0.856 0.750 0.585
0.993 0.250 0.879
0.077 0.750 0.769
0.083 0.250 0.639
0.417 0.750 0.139
0.423 0.250 0.269
0.577 0.750 0.731
0.583 0.250 0.861
0.917 0.750 0.361
0.923 0.250 0.231
```

4.
First-principles (PBE) data for a geometry-optimized CdHg2Se structure, as listed in Alexandria.

Properties
formation energy (no corrections): -0.12 eV/atom

Structure (POSCAR):
```
CdHg2Se
1.0
3.911 0.000 0.000
0.000 3.911 0.000
0.000 0.000 7.857
Cd Hg Se
1 2 1
Direct
0.000 0.000 0.000
0.000 0.000 0.627
0.500 0.500 0.433
0.500 0.500 0.051
```

5.
First-principles (PBE) data for a geometry-optimized Ba6InHg5 structure, as listed in Alexandria.

Properties
energy of formation: -507 meV per atom

Structure (POSCAR):
```
Ba6InHg5
1.0
-2.973 4.247 8.932
2.973 -4.247 8.932
2.973 4.247 -8.932
Ba In Hg
6 1 5
Direct
0.081 0.332 0.749
0.247 0.000 0.247
0.417 0.668 0.749
0.583 0.332 0.251
0.753 0.000 0.753
0.919 0.668 0.251
0.500 0.500 0.000
0.000 0.500 0.500
0.166 0.166 0.000
0.338 0.838 0.500
0.662 0.162 0.500
0.834 0.834 0.000
```

6.
First-principles (PBE) data for a geometry-optimized RbAl2SbO6 structure, as listed in Alexandria.

Properties
formation energy (no corrections): -2.17 eV/atom

Structure (POSCAR):
```
RbAl2SbO6
1.0
4.723 -5.127 0.000
4.723 5.127 0.000
-1.516 0.000 6.039
Rb Al Sb O
2 4 2 12
Direct
0.100 0.900 0.750
0.900 0.100 0.250
0.237 0.385 0.875
0.385 0.237 0.375
0.615 0.763 0.625
0.763 0.615 0.125
0.291 0.709 0.250
0.709 0.291 0.750
0.008 0.698 0.247
0.272 0.374 0.177
0.302 0.642 0.941
0.302 0.992 0.253
0.358 0.698 0.559
0.374 0.272 0.677
0.626 0.728 0.323
0.642 0.302 0.441
0.698 0.008 0.747
0.698 0.358 0.059
0.728 0.626 0.823
0.992 0.302 0.753
```

7.
First-principles (PBE) data for a geometry-optimized ZrP2ClF structure, as listed in Alexandria.

Properties
formation energy (no corrections): -0.14 eV/atom

Structure (POSCAR):
```
ZrP2ClF
1.0
4.114 0.000 0.000
0.000 4.114 0.000
0.000 0.000 4.948
Zr P Cl F
1 2 1 1
Direct
0.000 0.000 0.000
0.000 0.500 0.500
0.500 0.000 0.500
0.500 0.500 0.000
0.500 0.500 0.500
```

8.
First-principles (PBE) data for a geometry-optimized DyHoHgPd structure, as listed in Alexandria.

Properties
energy of formation: -653 meV per atom

Structure (POSCAR):
```
DyHoHgPd
1.0
7.215 0.000 0.000
0.000 7.215 0.000
0.000 0.000 7.215
Dy Ho Hg Pd
4 4 4 4
Direct
0.000 0.000 0.000
0.000 0.500 0.500
0.500 0.000 0.500
0.500 0.500 0.000
0.000 0.000 0.500
0.000 0.500 0.000
0.500 0.000 0.000
0.500 0.500 0.500
0.250 0.250 0.750
0.250 0.750 0.250
0.750 0.250 0.250
0.750 0.750 0.750
0.250 0.250 0.250
0.250 0.750 0.750
0.750 0.250 0.750
0.750 0.750 0.250
```

9.
First-principles (PBE) data for a geometry-optimized LiLaY2 structure, as listed in Alexandria.

Properties
energy of formation: 185 meV per atom

Structure (POSCAR):
```
LiLaY2
1.0
4.893 0.000 0.000
0.000 4.893 0.000
0.000 0.000 5.200
Li La Y
1 1 2
Direct
0.000 0.000 0.000
0.500 0.500 0.000
0.000 0.500 0.500
0.500 0.000 0.500
```

10.
First-principles (PBE) data for a geometry-optimized TlPPt structure, as listed in Alexandria.

Properties
energy of formation: -161 meV per atom

Structure (POSCAR):
```
TlPPt
1.0
3.807 0.000 0.000
-1.903 3.297 0.000
0.000 0.000 5.447
Tl P Pt
1 1 1
Direct
0.000 0.000 0.000
0.333 0.667 0.443
0.667 0.333 0.578
```

11.
First-principles (PBE) data for a geometry-optimized Ho2NiBi structure, as listed in Alexandria.

Properties
energy of formation: -566 meV per atom

Structure (POSCAR):
```
Ho2NiBi
1.0
6.178 0.000 0.000
0.000 4.102 0.000
-2.819 0.000 7.815
Ho Ni Bi
4 2 2
Direct
0.165 0.250 0.393
0.242 0.750 0.047
0.758 0.250 0.953
0.835 0.750 0.607
0.119 0.250 0.796
0.881 0.750 0.204
0.380 0.750 0.708
0.620 0.250 0.292
```

12.
First-principles (PBE) data for a geometry-optimized FeSiOs2 structure, as listed in Alexandria.

Properties
formation energy (no corrections): -0.08 eV/atom

Structure (POSCAR):
```
FeSiOs2
1.0
2.853 0.000 0.000
0.000 4.205 0.000
0.000 0.000 8.491
Fe Si Os
2 2 4
Direct
0.000 0.000 0.000
0.500 0.500 0.500
0.000 0.500 0.286
0.500 0.000 0.786
0.000 0.000 0.549
0.000 0.500 0.775
0.500 0.000 0.275
0.500 0.500 0.049
```

13.
First-principles (PBE) data for a geometry-optimized CdTc2Ag structure, as listed in Alexandria.

Properties
energy of formation: 528 meV per atom

Structure (POSCAR):
```
CdTc2Ag
1.0
4.123 0.000 0.000
0.000 4.123 0.000
0.000 0.000 7.697
Cd Tc Ag
2 4 2
Direct
0.000 0.000 0.000
0.500 0.500 0.500
0.000 0.000 0.500
0.000 0.500 0.750
0.500 0.000 0.250
0.500 0.500 0.000
0.000 0.500 0.250
0.500 0.000 0.750
```

14.
First-principles (PBE) data for a geometry-optimized Hg2Pt3Se8 structure, as listed in Alexandria.

Properties
formation energy (no corrections): -0.25 eV/atom

Structure (POSCAR):
```
Hg2Pt3Se8
1.0
6.474 -3.823 0.000
6.474 3.823 0.000
-1.483 0.000 6.470
Hg Pt Se
2 3 8
Direct
0.221 0.221 0.153
0.779 0.779 0.847
0.254 0.746 0.500
0.500 0.500 0.000
0.746 0.254 0.500
0.120 0.120 0.461
0.160 0.622 0.132
0.378 0.840 0.868
0.398 0.398 0.623
0.602 0.602 0.377
0.622 0.160 0.132
0.840 0.378 0.868
0.880 0.880 0.539
```

15.
First-principles (PBE) data for a geometry-optimized Ni4HgP structure, as listed in Alexandria.

Properties
energy of formation: 313 meV per atom

Structure (POSCAR):
```
Ni4HgP
1.0
0.000 3.412 3.412
3.412 0.000 3.412
3.412 3.412 0.000
Ni Hg P
4 1 1
Direct
0.125 0.125 0.125
0.125 0.125 0.626
0.125 0.626 0.125
0.626 0.125 0.125
0.500 0.500 0.500
0.750 0.750 0.750
```

16.
First-principles (PBE) data for a geometry-optimized TaP2Br structure, as listed in Alexandria.

Properties
formation energy (no corrections): 0.37 eV/atom

Structure (POSCAR):
```
TaP2Br
1.0
6.244 0.000 0.000
0.000 6.244 0.000
0.000 0.000 11.331
Ta P Br
4 8 4
Direct
0.000 0.000 0.000
0.000 0.500 0.250
0.500 0.000 0.750
0.500 0.500 0.500
0.174 0.250 0.125
0.250 0.674 0.375
0.250 0.826 0.875
0.326 0.250 0.625
0.674 0.750 0.625
0.750 0.174 0.875
0.750 0.326 0.375
0.826 0.750 0.125
0.000 0.000 0.500
0.000 0.500 0.750
0.500 0.000 0.250
0.500 0.500 0.000
```

17.
First-principles (PBE) data for a geometry-optimized La2Nd3DyHo6 structure, as listed in Alexandria.

Properties
energy of formation: 15 meV per atom

Structure (POSCAR):
```
La2Nd3DyHo6
1.0
3.128 -5.417 0.000
3.128 5.417 0.000
-2.080 0.000 11.659
La Nd Dy Ho
2 3 1 6
Direct
0.166 0.834 0.000
0.834 0.166 0.000
0.000 0.000 0.500
0.333 0.667 0.500
0.667 0.333 0.500
0.500 0.500 0.000
0.084 0.416 0.749
0.252 0.252 0.251
0.416 0.084 0.749
0.584 0.916 0.251
0.748 0.748 0.749
0.916 0.584 0.251
```

18.
First-principles (PBE) data for a geometry-optimized CeNd4Dy8 structure, as listed in Alexandria.

Properties
energy of formation: 522 meV per atom

Structure (POSCAR):
```
CeNd4Dy8
1.0
5.529 3.192 4.497
-5.529 3.192 4.497
0.000 -6.384 4.497
Ce Nd Dy
1 4 8
Direct
0.000 0.000 0.000
0.000 0.000 0.500
0.000 0.500 0.000
0.500 0.000 0.000
0.500 0.500 0.500
0.258 0.741 0.741
0.259 0.259 0.259
0.259 0.259 0.742
0.259 0.742 0.259
0.741 0.258 0.741
0.741 0.741 0.258
0.741 0.741 0.741
0.742 0.259 0.259
```

19.
First-principles (PBE) data for a geometry-optimized LaRhBr2 structure, as listed in Alexandria.

Properties
formation energy (no corrections): -1.13 eV/atom

Structure (POSCAR):
```
LaRhBr2
1.0
3.971 0.000 0.000
0.000 4.090 0.000
-1.861 0.000 7.351
La Rh Br
1 1 2
Direct
0.000 0.000 0.000
0.595 0.500 0.094
0.322 0.500 0.755
0.644 0.000 0.332
```

20.
First-principles (PBE) data for a geometry-optimized BaY2ScHg structure, as listed in Alexandria.

Properties
energy of formation: 338 meV per atom

Structure (POSCAR):
```
BaY2ScHg
1.0
5.646 0.000 0.000
0.000 5.646 0.000
0.000 0.000 5.631
Ba Y Sc Hg
1 2 1 1
Direct
0.000 0.000 0.000
0.000 0.500 0.500
0.500 0.000 0.500
0.500 0.500 0.500
0.500 0.500 0.000
```

21.
First-principles (PBE) data for a geometry-optimized Pm2Si4NiOs3 structure, as listed in Alexandria.

Properties
formation energy (no corrections): -0.61 eV/atom

Structure (POSCAR):
```
Pm2Si4NiOs3
1.0
4.143 0.000 0.000
0.000 4.143 0.000
0.000 0.000 9.946
Pm Si Ni Os
2 4 1 3
Direct
0.000 0.500 0.248
0.500 0.000 0.752
0.000 0.000 0.000
0.000 0.500 0.624
0.500 0.000 0.376
0.500 0.500 0.000
0.000 0.000 0.500
0.000 0.500 0.870
0.500 0.000 0.130
0.500 0.500 0.500
```

22.
First-principles (PBE) data for a geometry-optimized KBaMn3 structure, as listed in Alexandria.

Properties
energy of formation: 1561 meV per atom

Structure (POSCAR):
```
KBaMn3
1.0
5.570 0.000 0.000
0.000 5.570 0.000
0.000 0.000 5.570
K Ba Mn
1 1 3
Direct
0.000 0.000 0.000
0.500 0.500 0.500
0.000 0.000 0.500
0.000 0.500 0.000
0.500 0.000 0.000
```

23.
First-principles (PBE) data for a geometry-optimized NaSn3P structure, as listed in Alexandria.

Properties
energy of formation: 272 meV per atom

Structure (POSCAR):
```
NaSn3P
1.0
5.371 0.000 0.000
0.000 5.371 0.000
0.000 0.000 5.371
Na Sn P
1 3 1
Direct
0.000 0.000 0.000
0.000 0.500 0.500
0.500 0.000 0.500
0.500 0.500 0.000
0.500 0.500 0.500
```

| no. | DFT total energy (eV/cell) |
| --- | --- |
| 1 | -57.719 |
| 2 | -64.919 |
| 3 | -70.985 |
| 4 | -5.482 |
| 5 | -21.871 |
| 6 | -128.043 |
| 7 | -23.801 |
| 8 | -69.145 |
| 9 | -19.028 |
| 10 | -14.300 |
| 11 | -42.165 |
| 12 | -73.341 |
| 13 | -44.773 |
| 14 | -49.802 |
| 15 | -26.961 |
| 16 | -91.518 |
| 17 | -56.045 |
| 18 | -55.042 |
| 19 | -20.163 |
| 20 | -19.793 |
| 21 | -76.808 |
| 22 | -22.723 |
| 23 | -17.378 |